[1]
# Li2AcAlCd4 | Alexandria | PBE-GGA | optimized geometry
# - DFT formation energy: -0.19 eV per atom
# - V: 566.39 Å³/cell
data_Li2AcAlCd4
_cell_length_a 4.6740
_cell_length_b 4.6740
_cell_length_c 29.9366
_cell_angle_alpha 90.00
_cell_angle_beta 90.00
_cell_angle_gamma 120.00
_space_group_name_H-M_alt 'R -3 m'
_space_group_IT_number 166
_space_group_name_Hall '-R 3 2"'
loop_
_atom_site_label
_atom_site_type_symbol
_atom_site_fract_x
_atom_site_fract_y
_atom_site_fract_z
_atom_site_occupancy
Li1 Li 0.0000 0.0000 0.2292 1
Ac1 Ac 0.0000 0.0000 0.0000 1
Al1 Al 0.0000 0.0000 0.5000 1
Cd1 Cd 0.0000 0.0000 0.1261 1
Cd2 Cd 0.0000 0.0000 0.4039 1



[2]
# AcLuAlCd | Alexandria | PBE-GGA | optimized geometry
# - DFT formation energy: -0.23 eV per atom
# - V: 452.38 Å³/cell
data_AcLuAlCd
_cell_length_a 7.6766
_cell_length_b 7.6766
_cell_length_c 7.6766
_cell_angle_alpha 90.00
_cell_angle_beta 90.00
_cell_angle_gamma 90.00
_space_group_name_H-M_alt 'F -4 3 m'
_space_group_IT_number 216
_space_group_name_Hall 'F -4 2 3'
loop_
_atom_site_label
_atom_site_type_symbol
_atom_site_fract_x
_atom_site_fract_y
_atom_site_fract_z
_atom_site_occupancy
Ac1 Ac 0.0000 0.0000 0.0000 1
Lu1 Lu 0.0000 0.0000 0.5000 1
Al1 Al 0.2500 0.2500 0.7500 1
Cd1 Cd 0.2500 0.2500 0.2500 1



[3]
# AcMgAlCd6 | Alexandria | PBE-GGA | optimized geometry
# - DFT formation energy: -0.02 eV per atom
# - V: 944.14 Å³/cell
data_AcMgAlCd6
_cell_length_a 7.6189
_cell_length_b 9.9020
_cell_length_c 12.5148
_cell_angle_alpha 90.00
_cell_angle_beta 90.00
_cell_angle_gamma 90.00
_space_group_name_H-M_alt 'I m m a'
_space_group_IT_number 74
_space_group_name_Hall '-I 2b 2'
loop_
_atom_site_label
_atom_site_type_symbol
_atom_site_fract_x
_atom_site_fract_y
_atom_site_fract_z
_atom_site_occupancy
Ac1 Ac 0.0000 0.2500 0.1981 1
Mg1 Mg 0.2500 0.2500 0.7500 1
Al1 Al 0.0000 0.0000 0.0000 1
Cd1 Cd 0.0000 0.2500 0.5081 1
Cd2 Cd 0.0000 0.2500 0.9198 1
Cd3 Cd 0.1924 0.0076 0.3736 1



[4]
# Ac2MgAl4Cd3 | Alexandria | PBE-GGA | optimized geometry
# - DFT formation energy: -0.28 eV per atom
# - V: 247.04 Å³/cell
data_Ac2MgAl4Cd3
_cell_length_a 4.6121
_cell_length_b 4.6121
_cell_length_c 11.6137
_cell_angle_alpha 90.00
_cell_angle_beta 90.00
_cell_angle_gamma 90.00
_space_group_name_H-M_alt 'P -4 m 2'
_space_group_IT_number 115
loop_
_space_group_symop_operation_xyz
'x,y,z'
'y,-x,-z'
'-x,-y,z'
'-y,x,-z'
'-x,y,z'
'-y,-x,-z'
'x,-y,z'
'y,x,-z'
loop_
_atom_site_label
_atom_site_type_symbol
_atom_site_fract_x
_atom_site_fract_y
_atom_site_fract_z
_atom_site_occupancy
Ac1 Ac 0.0000 0.5000 0.2460 1
Mg1 Mg 0.0000 0.0000 0.5000 1
Al1 Al 0.0000 0.0000 0.0000 1
Al2 Al 0.0000 0.5000 0.6391 1
Al3 Al 0.5000 0.5000 0.0000 1
Cd1 Cd 0.0000 0.5000 0.8685 1
Cd2 Cd 0.5000 0.5000 0.5000 1



[5]
# AcMgAlCd2 | Alexandria | PBE-GGA | optimized geometry
# - DFT formation energy: -0.25 eV per atom
# - V: 259.67 Å³/cell
data_AcMgAlCd2
_cell_length_a 4.6762
_cell_length_b 4.6762
_cell_length_c 11.8755
_cell_angle_alpha 90.00
_cell_angle_beta 90.00
_cell_angle_gamma 90.00
_space_group_name_H-M_alt 'I -4 m 2'
_space_group_IT_number 119
_space_group_name_Hall 'I -4 -2'
loop_
_atom_site_label
_atom_site_type_symbol
_atom_site_fract_x
_atom_site_fract_y
_atom_site_fract_z
_atom_site_occupancy
Ac1 Ac 0.0000 0.0000 0.0000 1
Mg1 Mg 0.0000 0.5000 0.7500 1
Al1 Al 0.0000 0.5000 0.2500 1
Cd1 Cd 0.0000 0.0000 0.3818 1



[6]
# AcMg4AlCd2 | Alexandria | PBE-GGA | optimized geometry
# - DFT formation energy: -0.08 eV per atom
# - V: 602.32 Å³/cell
data_AcMg4AlCd2
_cell_length_a 4.8931
_cell_length_b 4.8931
_cell_length_c 29.0486
_cell_angle_alpha 90.00
_cell_angle_beta 90.00
_cell_angle_gamma 120.00
_space_group_name_H-M_alt 'R -3 m'
_space_group_IT_number 166
_space_group_name_Hall '-R 3 2"'
loop_
_atom_site_label
_atom_site_type_symbol
_atom_site_fract_x
_atom_site_fract_y
_atom_site_fract_z
_atom_site_occupancy
Ac1 Ac 0.0000 0.0000 0.0000 1
Mg1 Mg 0.0000 0.0000 0.1325 1
Mg2 Mg 0.0000 0.0000 0.4038 1
Al1 Al 0.0000 0.0000 0.5000 1
Cd1 Cd 0.0000 0.0000 0.2470 1



[7]
# NaAcAlCd | Alexandria | PBE-GGA | optimized geometry
# - DFT formation energy: -0.09 eV per atom
# - V: 464.91 Å³/cell
data_NaAcAlCd
_cell_length_a 7.7468
_cell_length_b 7.7468
_cell_length_c 7.7468
_cell_angle_alpha 90.00
_cell_angle_beta 90.00
_cell_angle_gamma 90.00
_space_group_name_H-M_alt 'F -4 3 m'
_space_group_IT_number 216
_space_group_name_Hall 'F -4 2 3'
loop_
_atom_site_label
_atom_site_type_symbol
_atom_site_fract_x
_atom_site_fract_y
_atom_site_fract_z
_atom_site_occupancy
Na1 Na 0.0000 0.0000 0.0000 1
Ac1 Ac 0.0000 0.0000 0.5000 1
Al1 Al 0.2500 0.2500 0.2500 1
Cd1 Cd 0.2500 0.2500 0.7500 1



[8]
# AcNdAlCd | Alexandria | PBE-GGA | optimized geometry
# - DFT formation energy: -0.26 eV per atom
# - V: 481.81 Å³/cell
# - Relative energy among the computed polymorphs: 0.030 eV per atom
data_AcNdAlCd
_cell_length_a 7.8395
_cell_length_b 7.8395
_cell_length_c 7.8395
_cell_angle_alpha 90.00
_cell_angle_beta 90.00
_cell_angle_gamma 90.00
_space_group_name_H-M_alt 'F -4 3 m'
_space_group_IT_number 216
_space_group_name_Hall 'F -4 2 3'
loop_
_atom_site_label
_atom_site_type_symbol
_atom_site_fract_x
_atom_site_fract_y
_atom_site_fract_z
_atom_site_occupancy
Ac1 Ac 0.0000 0.0000 0.0000 1
Nd1 Nd 0.0000 0.0000 0.5000 1
Al1 Al 0.2500 0.2500 0.7500 1
Cd1 Cd 0.2500 0.2500 0.2500 1



[9]
# AcNdAlCd | Alexandria | PBE-GGA | optimized geometry
# - DFT formation energy: -0.29 eV per atom
# - V: 118.95 Å³/cell
# - Relative energy among the computed polymorphs: 0.000 eV per atom
data_AcNdAlCd
_cell_length_a 3.8456
_cell_length_b 3.8456
_cell_length_c 8.0430
_cell_angle_alpha 90.00
_cell_angle_beta 90.00
_cell_angle_gamma 90.00
_space_group_name_H-M_alt 'P 4 m m'
_space_group_IT_number 99
loop_
_space_group_symop_operation_xyz
'x,y,z'
'-y,x,z'
'-x,-y,z'
'y,-x,z'
'-x,y,z'
'y,x,z'
'x,-y,z'
'-y,-x,z'
loop_
_atom_site_label
_atom_site_type_symbol
_atom_site_fract_x
_atom_site_fract_y
_atom_site_fract_z
_atom_site_occupancy
Ac1 Ac 0.0000 0.0000 0.0000 1
Nd1 Nd 0.0000 0.0000 0.4721 1
Al1 Al 0.5000 0.5000 0.2549 1
Cd1 Cd 0.5000 0.5000 0.7108 1



[10]
# Ac4Al3CdO12 | Alexandria | PBE-GGA | optimized geometry
# - E_form (uncorrected): -2.8780 eV/atom
# - V: 504.68 Å³/cell
data_Ac4Al3CdO12
_cell_length_a 7.9617
_cell_length_b 7.9617
_cell_length_c 7.9617
_cell_angle_alpha 90.00
_cell_angle_beta 90.00
_cell_angle_gamma 90.00
_space_group_name_H-M_alt 'I m -3 m'
_space_group_IT_number 229
_space_group_name_Hall '-I 4 2 3'
loop_
_atom_site_label
_atom_site_type_symbol
_atom_site_fract_x
_atom_site_fract_y
_atom_site_fract_z
_atom_site_occupancy
Ac1 Ac 0.2500 0.2500 0.2500 1
Al1 Al 0.0000 0.0000 0.5000 1
Cd1 Cd 0.0000 0.0000 0.0000 1
O1 O 0.0000 0.0000 0.2715 1
O2 O 0.0000 0.2500 0.5000 1